No. 1
# LiGa2MoO6 | Alexandria via LeMat-Bulk | GGA+U | relaxed
data_LiGa2MoO6
_space_group_name_H-M_alt 'C 1 2/c 1'
_space_group_IT_number 15
_cell_length_a 9.7914
_cell_length_b 9.2889
_cell_length_c 5.2459
_cell_angle_alpha 90.00
_cell_angle_beta 100.81
_cell_angle_gamma 90.00
loop_
_space_group_symop_operation_xyz
'x,y,z'
'-x,-y,-z'
'-x,y,-z+1/2'
'x,-y,z+1/2'
'x+1/2,y+1/2,z'
'-x+1/2,-y+1/2,-z'
'-x+1/2,y+1/2,-z+1/2'
'x+1/2,-y+1/2,z+1/2'
loop_
_atom_site_label
_atom_site_fract_x
_atom_site_fract_y
_atom_site_fract_z
Li1 0.0000 0.0793 0.2500
Ga1 0.1930 0.4121 0.3141
Mo1 0.0000 0.2532 0.7500
O1 0.1034 0.2721 0.0901
O2 0.1155 0.0974 0.6389
O3 0.1381 0.4150 0.6357
# size of the total moment	1.00	μB/f.u.
# total DFT energy (no corrections)	-6.304	eV per atom

=====

No. 2
# LiGaMoO2 | Alexandria via LeMat-Bulk | GGA+U | relaxed
data_LiGaMoO2
_space_group_name_H-M_alt 'P 4/m m m'
_space_group_IT_number 123
_space_group_name_Hall '-P 4 2'
_cell_length_a 3.8746
_cell_length_b 3.8746
_cell_length_c 5.5267
_cell_angle_alpha 90.00
_cell_angle_beta 90.00
_cell_angle_gamma 90.00
loop_
_atom_site_label
_atom_site_fract_x
_atom_site_fract_y
_atom_site_fract_z
Li1 0.0000 0.0000 0.0000
Ga1 0.5000 0.5000 0.5000
Mo1 0.5000 0.5000 0.0000
O1 0.0000 0.5000 0.5000
# size of the total moment	5.64	μB/f.u.
# total DFT energy (no corrections)	-4.269	eV per atom

=====

No. 3
# LiGaMoO5 | Alexandria via LeMat-Bulk | GGA+U | relaxed
data_LiGaMoO5
_space_group_name_H-M_alt 'C 1 2/c 1'
_space_group_IT_number 15
_cell_length_a 6.4312
_cell_length_b 9.9091
_cell_length_c 6.9558
_cell_angle_alpha 90.00
_cell_angle_beta 111.88
_cell_angle_gamma 90.00
loop_
_space_group_symop_operation_xyz
'x,y,z'
'-x,-y,-z'
'-x,y,-z+1/2'
'x,-y,z+1/2'
'x+1/2,y+1/2,z'
'-x+1/2,-y+1/2,-z'
'-x+1/2,y+1/2,-z+1/2'
'x+1/2,-y+1/2,z+1/2'
loop_
_atom_site_label
_atom_site_fract_x
_atom_site_fract_y
_atom_site_fract_z
Li1 0.0000 0.2408 0.2500
Ga1 0.0000 0.5000 0.0000
Mo1 0.0000 0.2021 0.7500
O1 0.0000 0.4333 0.2500
O2 0.1493 0.3071 0.6307
O3 0.1928 0.0971 0.9445
# size of the total moment	0.02	μB/f.u.
# total DFT energy (no corrections)	-6.301	eV per atom

=====

No. 4
# LiGaMoO4 | Alexandria via LeMat-Bulk | GGA+U | relaxed
data_LiGaMoO4
_space_group_name_H-M_alt 'C m c m'
_space_group_IT_number 63
_space_group_name_Hall '-C 2c 2'
_cell_length_a 5.7187
_cell_length_b 8.7177
_cell_length_c 6.4311
_cell_angle_alpha 90.00
_cell_angle_beta 90.00
_cell_angle_gamma 90.00
loop_
_atom_site_label
_atom_site_fract_x
_atom_site_fract_y
_atom_site_fract_z
Li1 0.0000 0.1623 0.2500
Ga1 0.0000 0.1561 0.7500
Mo1 0.0000 0.5000 0.0000
O1 0.0000 0.2716 0.5113
O2 0.2487 0.4898 0.2500
# size of the total moment	2.00	μB/f.u.
# total DFT energy (no corrections)	-6.386	eV per atom